The following is a PBE-GGA calculation of crystalline CsK2TlBi2 at its relaxed geometry, from Alexandria via LeMat-Bulk.

Cell: 8.2459 9.7679 9.6677 Å, 120.34 115.24 90.00°
Atoms (fractional coordinates):
Cs1 0.2500 0.0000 0.0000
Cs2 0.7500 0.0000 0.0000
K1 0.6752 0.8383 0.3505
K2 0.1752 0.5121 0.3505
K3 0.8248 0.4879 0.6495
K4 0.3248 0.1617 0.6495
Tl1 0.7500 0.5000 0.0000
Tl2 0.2500 0.5000 0.0000
Bi1 0.4010 0.5880 0.8019
Bi2 0.5990 0.4120 0.1981
Bi3 0.0990 0.7861 0.1981
Bi4 0.9010 0.2139 0.8019

Energy relative to the elements: -0.280 eV/atom


The following is a PBE-GGA calculation of crystalline PrNdEuIn at its relaxed geometry, from Alexandria via LeMat-Bulk.

Cell: 5.6531 5.6531 5.6531 Å, 60.00 60.00 60.00°
Last column: magnetic moment on the atom in μB.
Atoms (fractional coordinates):
Eu1 0.2500 0.2500 0.2500  -6.90
Pr1 0.0000 0.0000 0.0000  -0.07
Nd1 0.5000 0.5000 0.5000  -0.07
In1 0.7500 0.7500 0.7500  0.04

Energy relative to the elements: -0.176 eV/atom


The following is a PBE-GGA calculation of crystalline NaAc3 at its relaxed geometry, from Alexandria via LeMat-Bulk.

Cell: 3.9859 6.4531 6.7597 Å, 90.00 90.00 90.00°
Atoms (fractional coordinates):
Na1 0.0000 0.0000 0.9895
Ac1 0.5000 0.0000 0.4811
Ac2 0.5000 0.5000 0.8464
Ac3 0.0000 0.5000 0.3497

Polymorph energy (0 for the lowest one): 20 meV/atom
Energy relative to the elements: 0.141 eV/atom


The following is a PBE-GGA calculation of crystalline Zr2HPb at its relaxed geometry, from Alexandria via LeMat-Bulk.

Cell: 5.7788 5.7788 6.4536 Å, 63.40 63.40 90.00°
Atoms (fractional coordinates):
Pb1 0.0000 0.0000 0.0000
Pb2 0.7500 0.2500 0.5000
H1 0.5000 0.5000 0.0000
H2 0.2500 0.7500 0.5000
Zr1 0.3748 0.1250 0.2500
Zr2 0.3752 0.6250 0.2500
Zr3 0.3750 0.6252 0.7500
Zr4 0.8750 0.6248 0.7500

Polymorph energy (0 for the lowest one): 334 meV/atom


The following is a PBE-GGA calculation of crystalline HfMo5 at its relaxed geometry, from Alexandria via LeMat-Bulk.

Cell: 3.2047 4.5555 7.1619 Å, 108.54 90.00 90.00°
Atoms (fractional coordinates):
Mo1 0.0000 0.6673 0.3346
Mo2 0.0000 0.3327 0.6654
Mo3 0.5000 0.5000 0.0000
Mo4 0.5000 0.1726 0.3451
Mo5 0.5000 0.8274 0.6549
Hf1 0.0000 0.0000 0.0000

Energy relative to the elements: -0.061 eV/atom


The following is a PBE-GGA calculation of crystalline Ga3PdAu2 at its relaxed geometry, from Alexandria via LeMat-Bulk.

Cell: 4.3503 6.4752 7.5722 Å, 90.00 90.00 90.00°
Atoms (fractional coordinates):
Ga1 0.5000 0.0287 0.5000
Ga2 0.0000 0.9713 0.0000
Ga3 0.0000 0.6267 0.3073
Ga4 0.5000 0.3733 0.1927
Ga5 0.0000 0.6267 0.6927
Ga6 0.5000 0.3733 0.8073
Pd1 0.5000 0.6035 0.5000
Pd2 0.0000 0.3965 0.0000
Au1 0.5000 0.8350 0.8172
Au2 0.0000 0.1650 0.6828
Au3 0.5000 0.8350 0.1828
Au4 0.0000 0.1650 0.3172

Polymorph energy (0 for the lowest one): 59 meV/atom
Energy relative to the elements: -0.284 eV/atom


The following is a PBE-GGA calculation of crystalline Y2TiSbO6 at its relaxed geometry, from Alexandria via LeMat-Bulk.

Cell: 5.3984 5.3092 5.3092 Å, 90.00 90.00 90.00°
Atoms (fractional coordinates):
Y1 0.9791 0.5000 0.0000
Y2 0.9791 0.0000 0.5000
Ti1 0.6054 0.0000 0.0000
Sb1 0.5004 0.5000 0.5000
O1 0.7500 0.2365 0.2365
O2 0.7500 0.2365 0.7635
O3 0.1165 0.5000 0.5000
O4 0.2663 0.0000 0.0000
O5 0.7500 0.7635 0.7635
O6 0.7500 0.7635 0.2365

E: -79.824 eV per cell


The following is a PBE-GGA calculation of crystalline NiSn at its relaxed geometry, from Alexandria via LeMat-Bulk.

Cell: 4.9653 6.3645 8.9756 Å, 90.00 90.00 90.00°
Atoms (fractional coordinates):
Ni1 0.2961 0.0189 0.0884
Ni2 0.7961 0.4811 0.9116
Ni3 0.7039 0.5189 0.4116
Ni4 0.2039 0.9811 0.5884
Ni5 0.4438 0.5700 0.6855
Ni6 0.9438 0.9300 0.3145
Ni7 0.5562 0.0700 0.8145
Ni8 0.0562 0.4300 0.1855
Sn1 0.7950 0.1209 0.0717
Sn2 0.2950 0.3791 0.9283
Sn3 0.2050 0.6209 0.4283
Sn4 0.7050 0.8791 0.5717
Sn5 0.1008 0.8301 0.8509
Sn6 0.6008 0.6699 0.1491
Sn7 0.8992 0.3301 0.6491
Sn8 0.3992 0.1699 0.3509

Energy relative to the elements: -0.024 eV/atom


The following is a PBE-GGA calculation of crystalline BaSbRu2 at its relaxed geometry, from Alexandria via LeMat-Bulk.

Cell: 4.4063 4.4063 6.6240 Å, 70.57 70.57 60.00°
Atoms (fractional coordinates):
Ba1 0.2580 0.2580 0.2256
Ru1 0.0576 0.0576 0.8272
Ru2 0.7289 0.7289 0.8135
Sb1 0.4555 0.4555 0.6337

E: -25.069 eV per cell


The following is a PBE-GGA calculation of crystalline LiAlH2 at its relaxed geometry, from Alexandria via LeMat-Bulk.

Cell: 4.1499 4.1499 5.6182 Å, 68.33 68.33 90.00°
Atoms (fractional coordinates):
H1 0.6501 0.1250 0.2500
H2 0.0999 0.6250 0.2500
H3 0.3750 0.3499 0.7500
H4 0.8750 0.9001 0.7500
Al1 0.0000 0.0000 0.0000
Al2 0.7500 0.2500 0.5000
Li1 0.5000 0.5000 0.0000
Li2 0.2500 0.7500 0.5000

Polymorph energy (0 for the lowest one): 335 meV/atom


The following is a PBE-GGA calculation of crystalline CuReN2F at its relaxed geometry, from Alexandria via LeMat-Bulk.

Cell: 3.8683 3.8683 3.6108 Å, 90.00 90.00 90.00°
Last column: magnetic moment on the atom in μB.
Atoms (fractional coordinates):
Re1 0.5000 0.5000 0.5000  2.93
N1 0.0000 0.5000 0.0000  -0.21
N2 0.5000 0.0000 0.0000  -0.21
Cu1 0.0000 0.0000 0.0000  -0.04
F1 0.0000 0.0000 0.5000  0.07

Polymorph energy (0 for the lowest one): 1134 meV/atom


The following is a PBE-GGA calculation of crystalline Li3Mg4Al2 at its relaxed geometry, from Alexandria via LeMat-Bulk.

Cell: 4.7712 4.7720 8.7646 Å, 90.02 90.02 59.98°
Atoms (fractional coordinates):
Li1 0.3337 0.3325 0.4522
Li2 0.0000 0.0000 0.0000
Li3 0.6663 0.6675 0.5478
Mg1 0.6662 0.6675 0.8887
Mg2 0.0008 0.9982 0.3272
Mg3 0.9992 0.0018 0.6728
Mg4 0.3338 0.3325 0.1113
Al1 0.3326 0.3348 0.7752
Al2 0.6674 0.6652 0.2248

Energy relative to the elements: -0.081 eV/atom


The following is a PBE-GGA calculation of crystalline LaEr5Zn6 at its relaxed geometry, from Alexandria via LeMat-Bulk.

Cell: 5.0385 7.1729 7.9990 Å, 90.00 71.60 90.00°
Atoms (fractional coordinates):
Zn1 0.8274 0.7395 0.3439
Zn2 0.8274 0.2605 0.3439
Zn3 0.5000 0.2604 0.0000
Zn4 0.5000 0.7396 0.0000
Zn5 0.1726 0.7395 0.6561
Zn6 0.1726 0.2605 0.6561
La1 0.0000 0.0000 0.0000
Er1 0.6637 0.5000 0.6733
Er2 0.3305 0.0000 0.3382
Er3 0.0000 0.5000 0.0000
Er4 0.6695 0.0000 0.6618
Er5 0.3363 0.5000 0.3267

Energy relative to the elements: -0.329 eV/atom


The following is a PBE-GGA calculation of crystalline Pr2DyAg3 at its relaxed geometry, from Alexandria via LeMat-Bulk.

Cell: 3.7044 3.7044 11.3656 Å, 90.00 90.00 90.00°
Atoms (fractional coordinates):
Pr1 0.5000 0.5000 0.8283
Pr2 0.5000 0.5000 0.1717
Dy1 0.5000 0.5000 0.5000
Ag1 0.0000 0.0000 0.0000
Ag2 0.0000 0.0000 0.6509
Ag3 0.0000 0.0000 0.3491

Energy relative to the elements: -0.273 eV/atom


The following is a PBE-GGA calculation of crystalline NdYTh14 at its relaxed geometry, from Alexandria via LeMat-Bulk.

Cell: 7.1895 7.1895 11.6169 Å, 90.00 90.00 120.08°
Atoms (fractional coordinates):
Nd1 0.5401 0.4599 0.5000
Y1 0.0407 0.9593 0.5000
Th1 0.2082 0.7918 0.0000
Th2 0.7083 0.2917 0.0000
Th3 0.0444 0.4578 0.5000
Th4 0.2080 0.2914 0.0000
Th5 0.5422 0.9556 0.5000
Th6 0.7086 0.7920 0.0000
Th7 0.3747 0.1243 0.7517
Th8 0.3747 0.1243 0.2483
Th9 0.8757 0.6253 0.7517
Th10 0.8757 0.6253 0.2483
Th11 0.3744 0.6256 0.7520
Th12 0.3744 0.6256 0.2480
Th13 0.8749 0.1251 0.7508
Th14 0.8749 0.1251 0.2492

Energy relative to the elements: 0.038 eV/atom


The following is a PBE-GGA calculation of crystalline Cd3RuAu at its relaxed geometry, from Alexandria via LeMat-Bulk.

Cell: 5.1501 5.1501 5.1501 Å, 90.00 90.00 90.00°
Last column: magnetic moment on the atom in μB.
Atoms (fractional coordinates):
Ru1 0.0000 0.0000 0.0000  0.69
Au1 0.5000 0.5000 0.5000  0.05
Cd1 0.0000 0.5000 0.0000  0.00
Cd2 0.0000 0.0000 0.5000  0.00
Cd3 0.5000 0.0000 0.0000  -0.01

Polymorph energy (0 for the lowest one): 0 meV/atom
Energy relative to the elements: 0.782 eV/atom


The following is a PBE-GGA calculation of crystalline BaSr2InCu at its relaxed geometry, from Alexandria via LeMat-Bulk.

Cell: 6.0134 6.0134 5.2319 Å, 90.00 90.00 90.00°
Atoms (fractional coordinates):
Sr1 0.0000 0.5000 0.0000
Sr2 0.5000 0.0000 0.0000
Ba1 0.5000 0.5000 0.5000
Cu1 0.0000 0.0000 0.0000
In1 0.0000 0.0000 0.5000

Energy relative to the elements: -0.079 eV/atom